1.
! YPPb | Alexandria via LeMat-Bulk | PBE | optimized geometry; values from VASP
! Calculated volume ... 227 Å³ per cell
! Energy above the most stable polymorph in this dataset ... 1.37 eV per formula unit
! DFT formation energy ... -0.7 eV/f.u.
! Symmetry ... P-62m
&SYSTEM
  ibrav = 0, nat = 9, ntyp = 3
/
ATOMIC_SPECIES
Y 88.91 Y.upf
P 30.97 P.upf
Pb 207.20 Pb.upf
ATOMIC_POSITIONS crystal
Y 0.000 0.595 0.000
Y 0.405 0.405 0.000
Y 0.595 0.000 0.000
P 0.000 0.299 0.500
P 0.299 0.000 0.500
P 0.701 0.701 0.500
Pb 0.000 0.000 0.000
Pb 0.333 0.667 0.500
Pb 0.667 0.333 0.500
CELL_PARAMETERS angstrom
8.129 0.000 0.000
-4.064 7.040 0.000
0.000 0.000 3.972

2.
! YPPb | Alexandria via LeMat-Bulk | PBE | optimized geometry; values from VASP
! Calculated volume ... 227 Å³ per cell
! Energy above the most stable polymorph in this dataset ... 1.35 eV per formula unit
! DFT formation energy ... -0.7 eV/f.u.
! Symmetry ... P-6m2
&SYSTEM
  ibrav = 0, nat = 9, ntyp = 3
/
ATOMIC_SPECIES
Y 88.91 Y.upf
P 30.97 P.upf
Pb 207.20 Pb.upf
ATOMIC_POSITIONS crystal
Y 0.000 0.000 0.000
Y 0.000 0.000 0.338
Y 0.000 0.000 0.662
P 0.333 0.667 0.500
P 0.667 0.333 0.151
P 0.667 0.333 0.849
Pb 0.333 0.667 0.175
Pb 0.333 0.667 0.825
Pb 0.667 0.333 0.500
CELL_PARAMETERS angstrom
4.747 0.000 0.000
-2.374 4.111 0.000
0.000 0.000 11.646